No. 1
A PBEsol-optimized structure of BeFeTc4. Source: the Alexandria database, functional meta-GGA SCAN.

Lattice parameters (Å, degrees): 7.008 7.008 7.008 90.00 90.00 90.00
Space group F-43m (No. 216)
Inequivalent atoms, fractional coordinates:
Be 0.000 0.000 0.000 x4
Fe 0.250 0.250 0.250 x4
Tc 0.125 0.125 0.625 x16

Results
For the formation energy, the calculation gives 0.496 eV/atom.

---

No. 2
A PBEsol-optimized structure of BeFe2Tc. Source: the Alexandria database, functional meta-GGA SCAN.

Lattice parameters (Å, degrees): 2.552 3.464 4.819 90.00 90.00 90.00
Space group Pmmm (No. 47)
Inequivalent atoms, fractional coordinates:
Be 0.000 0.000 0.000 x1
Fe 0.500 0.500 0.226 x2
Tc 0.000 0.000 0.500 x1

Results
For the formation energy, the calculation gives 0.081 eV/atom.

---

No. 3
A PBEsol-optimized structure of Be2FeTc. Source: the Alexandria database, functional meta-GGA SCAN.

Lattice parameters (Å, degrees): 3.851 3.851 5.422 90.00 90.00 90.00
Space group I-4m2 (No. 119)
Inequivalent atoms, fractional coordinates:
Be 0.000 0.000 0.000 x2
Be 0.000 0.500 0.250 x2
Fe 0.000 0.000 0.500 x2
Tc 0.000 0.500 0.750 x2

Results
For the formation energy, the calculation gives -0.079 eV/atom.

---

No. 4
A PBEsol-optimized structure of BeFeTc. Source: the Alexandria database, functional meta-GGA SCAN.

Lattice parameters (Å, degrees): 2.5747 2.5747 5.8442 90.00 90.00 120.00
Space group P3m1 (No. 156)
Inequivalent atoms, fractional coordinates:
Be 0.0000 0.0000 0.0000 x1
Fe 0.3333 0.6667 0.6914 x1
Tc 0.6667 0.3333 0.3509 x1

Results
For the formation energy, the calculation gives 0.149 eV/atom.

---

No. 5
A PBEsol-optimized structure of BeFe2Tc. Source: the Alexandria database, functional meta-GGA SCAN.

Lattice parameters (Å, degrees): 2.629 2.629 5.949 90.00 90.00 90.00
Space group P4/mmm (No. 123)
Inequivalent atoms, fractional coordinates:
Be 0.000 0.000 0.000 x1
Fe 0.500 0.500 0.216 x2
Tc 0.000 0.000 0.500 x1

Results
For the formation energy, the calculation gives 0.050 eV/atom.

---

No. 6
A PBEsol-optimized structure of BeFe2Tc. Source: the Alexandria database, functional meta-GGA SCAN.

Lattice parameters (Å, degrees): 3.387 3.387 7.440 90.00 90.00 90.00
Space group I4/mmm (No. 139)
Inequivalent atoms, fractional coordinates:
Be 0.000 0.000 0.000 x2
Fe 0.000 0.500 0.250 x4
Tc 0.000 0.000 0.500 x2

Results
For the formation energy, the calculation gives 0.033 eV/atom.

---

No. 7
A PBEsol-optimized structure of BeFeTcW2. Source: the Alexandria database, functional meta-GGA SCAN.

Lattice parameters (Å, degrees): 4.617 4.617 4.355 90.00 90.00 90.00
Space group P4/mmm (No. 123)
Inequivalent atoms, fractional coordinates:
Be 0.000 0.000 0.000 x1
Fe 0.500 0.500 0.000 x1
Tc 0.500 0.500 0.500 x1
W 0.000 0.500 0.500 x2

Results
For the formation energy, the calculation gives 2.121 eV/atom.

---

No. 8
A PBEsol-optimized structure of BeFeTe2. Source: the Alexandria database, functional meta-GGA SCAN.

Lattice parameters (Å, degrees): 3.659 5.440 7.620 90.00 90.00 90.00
Space group Immm (No. 71)
Inequivalent atoms, fractional coordinates:
Be 0.000 0.000 0.000 x2
Fe 0.000 0.000 0.500 x2
Te 0.000 0.500 0.279 x4

Results
The value obtained for the energy relative to the elements, uncorrected is 482 meV per atom.

---

No. 9
A PBEsol-optimized structure of BeFe2Te. Source: the Alexandria database, functional meta-GGA SCAN.

Lattice parameters (Å, degrees): 8.237 3.149 4.026 90.00 107.61 90.00
Space group Cm (No. 8)
Inequivalent atoms, fractional coordinates:
Be 0.000 0.000 0.000 x2
Fe 0.012 0.500 0.565 x2
Fe 0.275 0.000 0.899 x2
Te 0.264 0.500 0.364 x2

Results
The value obtained for the energy relative to the elements, uncorrected is 381 meV per atom.

---

No. 10
A PBEsol-optimized structure of BeFe3Te. Source: the Alexandria database, functional meta-GGA SCAN.

Lattice parameters (Å, degrees): 4.577 4.577 4.577 90.00 90.00 90.00
Space group Pm-3m (No. 221)
Inequivalent atoms, fractional coordinates:
Be 0.000 0.000 0.000 x1
Fe 0.000 0.500 0.500 x3
Te 0.500 0.500 0.500 x1

Results
The value obtained for the energy relative to the elements, uncorrected is 1521 meV per atom.

---

No. 11
A PBEsol-optimized structure of BeFeTe2. Source: the Alexandria database, functional meta-GGA SCAN.

Lattice parameters (Å, degrees): 4.394 5.073 6.712 90.00 90.00 90.00
Space group Amm2 (No. 38)
Inequivalent atoms, fractional coordinates:
Be 0.000 0.000 0.000 x2
Fe 0.500 0.000 0.829 x2
Te 0.000 0.000 0.632 x2
Te 0.500 0.000 0.208 x2

Results
The value obtained for the energy relative to the elements, uncorrected is 137 meV per atom.

---

No. 12
A PBEsol-optimized structure of BeFeTe2. Source: the Alexandria database, functional meta-GGA SCAN.

Lattice parameters (Å, degrees): 3.375 3.631 12.667 90.00 90.00 90.00
Space group Imm2 (No. 44)
Inequivalent atoms, fractional coordinates:
Be 0.000 0.000 0.000 x2
Fe 0.000 0.500 0.912 x2
Te 0.000 0.000 0.566 x2
Te 0.000 0.500 0.323 x2

Results
The value obtained for the energy relative to the elements, uncorrected is 263 meV per atom.

---

No. 13
A PBEsol-optimized structure of BeFeTe2. Source: the Alexandria database, functional meta-GGA SCAN.

Lattice parameters (Å, degrees): 4.650 4.650 3.270 90.00 90.00 90.00
Space group P4/mmm (No. 123)
Inequivalent atoms, fractional coordinates:
Be 0.000 0.000 0.000 x1
Fe 0.500 0.500 0.000 x1
Te 0.000 0.500 0.500 x2

Results
The value obtained for the energy relative to the elements, uncorrected is 676 meV per atom.

---

No. 14
A PBEsol-optimized structure of BeFeTe2. Source: the Alexandria database, functional meta-GGA SCAN.

Lattice parameters (Å, degrees): 6.749 6.749 6.749 90.00 90.00 90.00
Space group F-43m (No. 216)
Inequivalent atoms, fractional coordinates:
Be 0.000 0.000 0.000 x4
Fe 0.250 0.250 0.750 x4
Te 0.000 0.000 0.500 x4
Te 0.250 0.250 0.250 x4

Results
The value obtained for the energy relative to the elements, uncorrected is 953 meV per atom.

---

No. 15
A PBEsol-optimized structure of BeFeTe2. Source: the Alexandria database, functional meta-GGA SCAN.

Lattice parameters (Å, degrees): 3.871 3.590 5.744 90.00 102.99 90.00
Space group P2/m (No. 10)
Inequivalent atoms, fractional coordinates:
Be 0.000 0.000 0.000 x1
Fe 0.500 0.000 0.500 x1
Te 0.238 0.500 0.759 x2

Results
The value obtained for the energy relative to the elements, uncorrected is 497 meV per atom.

---

No. 16
A PBEsol-optimized structure of BeFeTe. Source: the Alexandria database, functional meta-GGA SCAN.

Lattice parameters (Å, degrees): 3.8001 3.8001 3.4449 90.00 90.00 120.00
Space group P-6m2 (No. 187)
Inequivalent atoms, fractional coordinates:
Be 0.0000 0.0000 0.0000 x1
Fe 0.3333 0.6667 0.0000 x1
Te 0.6667 0.3333 0.5000 x1

Results
The value obtained for the energy relative to the elements, uncorrected is 434 meV per atom.

---

No. 17
A PBEsol-optimized structure of TiBeFe3. Source: the Alexandria database, functional meta-GGA SCAN.

Lattice parameters (Å, degrees): 3.853 3.853 3.853 90.00 90.00 90.00
Space group Pm-3m (No. 221)
Inequivalent atoms, fractional coordinates:
Ti 0.000 0.000 0.000 x1
Be 0.500 0.500 0.500 x1
Fe 0.000 0.500 0.500 x3

Results
For the formation energy, the calculation gives 0.299 eV/atom.

---

No. 18
A PBEsol-optimized structure of TiBe2Fe2. Source: the Alexandria database, functional meta-GGA SCAN.

Lattice parameters (Å, degrees): 3.573 3.573 8.451 90.00 90.00 90.00
Space group I4/mmm (No. 139)
Inequivalent atoms, fractional coordinates:
Ti 0.000 0.000 0.000 x2
Be 0.000 0.500 0.250 x4
Fe 0.000 0.000 0.380 x4

Results
For the formation energy, the calculation gives 0.224 eV/atom.

---

No. 19
A PBEsol-optimized structure of TiBeFe3. Source: the Alexandria database, functional meta-GGA SCAN.

Lattice parameters (Å, degrees): 4.182 4.182 4.182 90.00 90.00 90.00
Space group Pm-3m (No. 221)
Inequivalent atoms, fractional coordinates:
Ti 0.000 0.000 0.000 x1
Be 0.500 0.500 0.500 x1
Fe 0.000 0.000 0.500 x3

Results
For the formation energy, the calculation gives 1.458 eV/atom.

---

No. 20
A PBEsol-optimized structure of TiBe2TlFe. Source: the Alexandria database, functional meta-GGA SCAN.

Lattice parameters (Å, degrees): 4.317 4.317 4.831 90.00 90.00 90.00
Space group P4/mmm (No. 123)
Inequivalent atoms, fractional coordinates:
Ti 0.000 0.000 0.000 x1
Be 0.000 0.500 0.500 x2
Tl 0.500 0.500 0.500 x1
Fe 0.500 0.500 0.000 x1

Results
For the formation energy, the calculation gives 1.142 eV/atom.

---

Number 1: volume 344.2 Å³ per cell, magnetization 3.54 μB per formula unit, Fermi-level density of states 16.87 states/eV/cell. Number 2: volume 42.6 Å³ per cell, magnetization 3.33 μB per formula unit, Fermi-level density of states 3.47 states/eV/cell. Number 3: volume 80.4 Å³ per cell, magnetization 0.00 μB per formula unit, Fermi-level density of states 5.49 states/eV/cell. Number 4: volume 33.6 Å³ per cell, magnetization 2.05 μB per formula unit, Fermi-level density of states 2.65 states/eV/cell. Number 5: volume 41.1 Å³ per cell, magnetization 2.06 μB per formula unit, Fermi-level density of states 2.07 states/eV/cell. Number 6: volume 85.4 Å³ per cell, magnetization 3.47 μB per formula unit, Fermi-level density of states 6.03 states/eV/cell. Number 7: volume 92.9 Å³ per cell, magnetization 2.38 μB per formula unit, Fermi-level density of states 4.80 states/eV/cell. Number 8: volume 151.7 Å³ per cell, magnetization 2.80 μB per formula unit, Fermi-level density of states 4.64 states/eV/cell. Number 9: volume 99.5 Å³ per cell, magnetization 3.13 μB per formula unit, Fermi-level density of states 7.17 states/eV/cell. Number 10: volume 95.9 Å³ per cell, magnetization 6.98 μB per formula unit, Fermi-level density of states 2.18 states/eV/cell. Number 11: volume 149.6 Å³ per cell, magnetization 2.27 μB per formula unit, Fermi-level density of states 3.27 states/eV/cell. Number 12: volume 155.2 Å³ per cell, magnetization 0.00 μB per formula unit, Fermi-level density of states 3.91 states/eV/cell. Number 13: volume 70.7 Å³ per cell, magnetization 2.75 μB per formula unit, Fermi-level density of states 2.68 states/eV/cell. Number 14: volume 307.4 Å³ per cell, magnetization 2.81 μB per formula unit, Fermi-level density of states 12.96 states/eV/cell. Number 15: volume 77.8 Å³ per cell, magnetization 3.03 μB per formula unit, Fermi-level density of states 2.27 states/eV/cell. Number 16: volume 43.1 Å³ per cell, magnetization 2.08 μB per formula unit, Fermi-level density of states 1.29 states/eV/cell. Number 17: volume 57.2 Å³ per cell, magnetization 4.00 μB per formula unit, Fermi-level density of states 3.79 states/eV/cell. Number 18: volume 107.9 Å³ per cell, magnetization 0.00 μB per formula unit, Fermi-level density of states 4.71 states/eV/cell. Number 19: volume 73.1 Å³ per cell, magnetization 5.59 μB per formula unit, Fermi-level density of states 4.08 states/eV/cell. Number 20: volume 90.0 Å³ per cell, magnetization 0.95 μB per formula unit, Fermi-level density of states 2.90 states/eV/cell.